VASP calculation (PBE) on an optimized crystal structure of Li2PbCl.

Results
The size of the total moment is 0.000 μB per formula unit. The energy relative to the lowest polymorph listed for this composition is 0 meV per atom. As for the raw formation energy: -930 meV/atom. As for the space group: C2/m. For the raw total energy, the calculation gives -3.276 eV per atom.

Geometry as POSCAR:
```
Li2PbCl
1.0
3.500 0.038 0.000
1.783 3.012 0.000
1.751 1.011 7.918
Pb Li Cl
1 2 1
Direct
0.250 0.250 0.250 Pb
0.480 0.480 0.563 Li
0.020 0.020 0.937 Li
0.750 0.750 0.750 Cl
```